Compound: RbTiTe2H
Source: Alexandria
Functional: PBE
Structure: relaxed

Its total energy is -43.5 eV per cell.

abc: 3.958 7.633 9.899
angles: 108.34 90.00 90.00
Atoms (fractional coordinates):
Rb  0.250  0.651  0.305
Rb  0.750  0.349  0.695
Ti  0.250  0.851  0.840
Ti  0.750  0.149  0.160
Te  0.750  0.832  0.644
Te  0.750  0.773  0.016
Te  0.250  0.168  0.356
Te  0.250  0.227  0.984
H  0.250  0.608  0.789
H  0.750  0.392  0.211